{"formula": "K2TeSe", "functional": "PBE", "state": "relaxed", "cell": [[-4.6979, 4.6979, 3.0632], [4.6979, -4.6979, 3.0632], [4.6979, 4.6979, -3.0632]], "species": ["K", "K", "K", "K", "Te", "Te", "Se", "Se"], "frac_coords": [[0.0874, 0.1250, 0.4624], [0.3750, 0.9126, 0.0376], [0.6626, 0.6250, 0.5376], [0.8750, 0.3374, 0.9624], [0.2500, 0.7500, 0.5000], [0.5000, 0.5000, 0.0000], [0.0000, 0.0000, 0.0000], [0.7500, 0.2500, 0.5000]], "mass_density_g_cm3": 3.50, "dos_at_fermi_per_ev_cell": 2.11, "polymorph_energy_kj_per_mol_atoms": 13.0, "magmom_total_mub_per_fu": 0.000}

{"formula": "LiPaHgO4", "functional": "PBE", "state": "relaxed", "cell": [[-3.2109, 3.5172, 4.8697], [3.2109, -3.5172, 4.8697], [3.2109, 3.5172, -4.8697]], "species": ["Li", "Li", "Pa", "Pa", "Hg", "Hg", "O", "O", "O", "O", "O", "O", "O", "O"], "frac_coords": [[0.3996, 0.1496, 0.2500], [0.6004, 0.8504, 0.7500], [0.0000, 0.5000, 0.5000], [0.5000, 0.5000, 0.0000], [0.0000, 0.0000, 0.5000], [0.0000, 0.5000, 0.0000], [0.2172, 0.7226, 0.4946], [0.2654, 0.3027, 0.5374], [0.2654, 0.7280, 0.9626], [0.2720, 0.2774, 0.9946], [0.7280, 0.7226, 0.0054], [0.7346, 0.2720, 0.0374], [0.7346, 0.6973, 0.4626], [0.7828, 0.2774, 0.5054]], "mass_density_g_cm3": 7.59, "dos_at_fermi_per_ev_cell": 0.00, "final_energy_ev_per_atom": -6.6916, "magmom_total_mub_per_fu": 0.000}

{"formula": "GdThAg4", "functional": "PBE", "state": "relaxed", "cell": [[0.0000, 4.0660, 4.0660], [4.0660, 0.0000, 4.0660], [4.0660, 4.0660, 0.0000]], "species": ["Gd", "Th", "Ag", "Ag", "Ag", "Ag"], "frac_coords": [[0.0000, 0.0000, 0.0000], [0.7500, 0.7500, 0.7500], [0.3748, 0.3748, 0.3748], [0.3748, 0.3748, 0.8756], [0.3748, 0.8756, 0.3748], [0.8756, 0.3748, 0.3748]], "mass_density_g_cm3": 10.14, "dos_at_fermi_per_ev_cell": 6.25, "delta_e_f_mev_per_atom": -73, "magmom_total_mub_per_fu": 7.465}

{"formula": "TaMnNiIr", "functional": "PBE", "state": "relaxed", "cell": [[0.0000, 3.0796, 3.0796], [3.0796, 0.0000, 3.0796], [3.0796, 3.0796, 0.0000]], "species": ["Ta", "Mn", "Ni", "Ir"], "frac_coords": [[0.0000, 0.0000, 0.0000], [0.5000, 0.5000, 0.5000], [0.7500, 0.7500, 0.7500], [0.2500, 0.2500, 0.2500]], "mass_density_g_cm3": 13.84, "dos_at_fermi_per_ev_cell": 3.59, "polymorph_energy_kj_per_mol_atoms": 12.3, "delta_e_f_mev_per_atom": -251, "magmom_total_mub_per_fu": 4.149}

{"formula": "TcRh2Cl", "functional": "PBE", "state": "relaxed", "cell": [[1.4241, 0.8222, 8.4655], [-1.4241, 0.8222, 8.4655], [0.0000, -1.6444, 8.4655]], "species": ["Tc", "Rh", "Rh", "Cl"], "frac_coords": [[0.0000, 0.0000, 0.0000], [0.2510, 0.2510, 0.2510], [0.7490, 0.7490, 0.7490], [0.5000, 0.5000, 0.5000]], "mass_density_g_cm3": 9.47, "dos_at_fermi_per_ev_cell": 4.30, "polymorph_energy_kj_per_mol_atoms": 0.0, "magmom_total_mub_per_fu": 0.000}

{"formula": "CaMgBe", "functional": "PBE", "state": "relaxed", "cell": [[5.3299, -1.9488, 0.0000], [5.3299, 1.9488, 0.0000], [-1.8954, 0.0000, 7.2040]], "species": ["Ca", "Ca", "Mg", "Mg", "Be", "Be"], "frac_coords": [[0.0000, 0.0000, 0.0000], [0.2198, 0.2198, 0.6591], [0.4833, 0.4833, 0.3656], [0.7516, 0.7516, 0.2578], [0.4982, 0.4982, 0.7016], [0.9373, 0.9373, 0.5987]], "mass_density_g_cm3": 1.63, "dos_at_fermi_per_ev_cell": 3.82, "polymorph_energy_kj_per_mol_atoms": 7.1, "delta_e_f_mev_per_atom": 185, "magmom_total_mub_per_fu": 0.000}